A geometry-optimized Ba2NaAg16 structure, computed with GGA-PBE.

Unit cell a=7.495 b=7.495 c=7.495 alpha=82.66 beta=82.66 gamma=82.66
Element x y z (fractional)
Ag: 0.655 0.157 0.655
Ag: 0.297 0.703 0.000
Ag: 0.157 0.655 0.655
Ag: 0.000 0.703 0.297
Ag: 0.703 0.297 0.000
Ag: 0.297 0.000 0.703
Ag: 0.655 0.655 0.157
Ag: 0.343 0.343 0.846
Ag: 0.343 0.846 0.343
Ag: 0.002 0.495 0.002
Ag: 0.846 0.343 0.343
Ag: 0.495 0.002 0.002
Ag: 0.002 0.002 0.495
Ag: 0.000 0.297 0.703
Ag: 0.102 0.102 0.102
Ag: 0.703 0.000 0.297
Ba: 0.339 0.339 0.339
Ba: 0.654 0.654 0.654
Na: 0.908 0.908 0.908

Summary:
* volume: 411.53 Å³ per cell
* space-group type: R3m
* energy of formation: -1.99 eV per formula unit
* E: -0.10208 hartree per atom